Entry from Alexandria: a geometry-optimized HgTe2AsW structure (PBE-GGA).

Computed properties:
* D(E_F): 0.800 states/eV per atom
* raw formation energy: 1753 meV/atom
* raw total energy: -3.084 eV/atom

Structure (CIF):
```
data_HgTe2AsW
_chemical_formula_sum 'Hg1 Te2 As1 W1'
_space_group_name_H-M_alt 'P 4/m m m'
_space_group_IT_number 123
_space_group_name_Hall '-P 4 2'
_cell_length_a 5.533
_cell_length_b 5.533
_cell_length_c 5.061
_cell_angle_alpha 90.00
_cell_angle_beta 90.00
_cell_angle_gamma 90.00
loop_
_atom_site_label
_atom_site_fract_x
_atom_site_fract_y
_atom_site_fract_z
_atom_site_occupancy
Hg1 0.000 0.000 0.000 1
Te1 0.000 0.500 0.000 1
As1 0.000 0.000 0.500 1
W1 0.500 0.500 0.500 1
```